# Rb2PrPaTe4

Crystalline Rb2PrPaTe4 at its relaxed geometry (PBE, the Alexandria database).

Cell lengths 7.9341, 4.5548, 9.0561 Å; angles 90.00, 106.76, 90.00 degrees
Element x y z (fractional)
1 Rb 0.0000 0.0000 0.0000
2 Rb 0.5000 0.5000 0.0000
3 Pr 0.0000 0.5000 0.5000
4 Pa 0.5000 0.0000 0.5000
5 Te 0.2443 0.0000 0.7076
6 Te 0.2721 0.5000 0.2949
7 Te 0.7279 0.5000 0.7051
8 Te 0.7557 0.0000 0.2924

## Properties
formation energy from raw total energies: -1.146 eV/atom
E: -4.7433 eV per atom
total magnetic moment: 1.95 Bohr magnetons per cell

***

# Rb3Pr3PaTe8

Crystalline Rb3Pr3PaTe8 at its relaxed geometry (PBE, the Alexandria database).

Cell lengths 10.2309, 10.2309, 10.2309 Å; angles 53.61, 53.61, 53.61 degrees
Element x y z (fractional)
1 Rb 0.0000 0.5000 0.5000
2 Rb 0.5000 0.0000 0.5000
3 Rb 0.5000 0.5000 0.0000
4 Pr 0.0000 0.0000 0.5000
5 Pr 0.0000 0.5000 0.0000
6 Pr 0.5000 0.0000 0.0000
7 Pa 0.5000 0.5000 0.5000
8 Te 0.2355 0.2355 0.2355
9 Te 0.2428 0.7284 0.7284
10 Te 0.2716 0.2716 0.7572
11 Te 0.2716 0.7572 0.2716
12 Te 0.7284 0.2428 0.7284
13 Te 0.7284 0.7284 0.2428
14 Te 0.7572 0.2716 0.2716
15 Te 0.7645 0.7645 0.7645

## Properties
formation energy from raw total energies: -1.291 eV/atom
E: -4.7492 eV per atom
total magnetic moment: 1.04 Bohr magnetons per cell

***

# PrPaRe4

Crystalline PrPaRe4 at its relaxed geometry (PBE, the Alexandria database).

Cell lengths 5.4784, 5.4784, 5.4784 Å; angles 60.00, 60.00, 60.00 degrees
Element x y z (fractional)
1 Pr 0.0000 0.0000 0.0000
2 Pa 0.2500 0.2500 0.2500
3 Re 0.1250 0.6250 0.6250
4 Re 0.6250 0.1250 0.6250
5 Re 0.6250 0.6250 0.1250
6 Re 0.6250 0.6250 0.6250

## Properties
E: -10.6350 eV per atom
ΔH_f (0 K): 0.258 eV per formula unit
total magnetic moment: 0.00 Bohr magnetons per cell

***

# Pr5PaRh4

Crystalline Pr5PaRh4 at its relaxed geometry (PBE, the Alexandria database).

Cell lengths 9.1080, 9.1080, 7.4420 Å; angles 109.35, 109.35, 28.04 degrees
Element x y z (fractional)
1 Pr 0.0000 0.0000 0.0000
2 Pr 0.3256 0.3256 0.9371
3 Pr 0.3345 0.3345 0.4491
4 Pr 0.6655 0.6655 0.5509
5 Pr 0.6744 0.6744 0.0629
6 Pa 0.0000 0.0000 0.5000
7 Rh 0.1408 0.1408 0.7885
8 Rh 0.4919 0.4919 0.2846
9 Rh 0.5081 0.5081 0.7154
10 Rh 0.8592 0.8592 0.2115

## Properties
E: -6.8637 eV per atom
ΔH_f (0 K): -5.838 eV per formula unit
total magnetic moment: 0.00 Bohr magnetons per cell